Here is a geometry-optimized Ag3IrCl2F6 structure from the Alexandria database. Energies are from PBE.

Results
**N(E_F)**: 8.28 states/eV/f.u.
**E_form (uncorrected)**: -1.12 eV/atom
**Spin magnetization**: 1.90 μB per cell
**Space-group type**: C2/m (12)

Cell and atoms, written as extended XYZ:
```
12
Lattice="-3.001 -0.438 -3.758 -4.451 -3.635 3.979 -0.597 7.459 0.007" Properties=species:S:1:pos:R:3 pbc="T T T"
Ag -2.225 -1.818 1.989
Ag -4.025 1.693 0.114
Ag -1.799 3.511 -1.875
Ir -1.501 -0.219 -1.879
Cl -3.794 0.146 2.028
Cl -4.255 3.240 -1.800
F -3.428 -0.295 -1.641
F -4.622 3.681 1.870
F -6.522 2.156 0.814
F -1.528 1.230 -0.585
F -1.956 5.858 -0.513
F -6.093 -2.472 0.742
```

Here is a geometry-optimized Tb2GdH structure from the Alexandria database. Energies are from PBE.

Results
**N(E_F)**: 4.07 states/eV/f.u.
**E above lowest polymorph**: 298 meV/atom
**Spin magnetization**: 6.97 μB per cell
**Space-group type**: P4/mmm (123)

Cell and atoms, written as extended XYZ:
```
4
Lattice="-3.086 0.820 -1.024 -1.091 -3.056 0.842 -1.851 2.821 7.840" Properties=species:S:1:pos:R:3 pbc="T T T"
H -2.089 -1.118 -0.091
Gd -3.014 0.292 3.829
Tb -1.499 2.286 6.352
Tb -0.351 0.536 1.488
```

Here is a geometry-optimized Tb3DyGa2 structure from the Alexandria database. Energies are from PBE.

Results
**N(E_F)**: 5.52 states/eV/f.u.
**E above lowest polymorph**: 0 meV/atom
**Spin magnetization**: 0.00 μB per cell
**Space-group type**: Pmc2_1 (26)

Cell and atoms, written as extended XYZ:
```
12
Lattice="-1.355 -4.540 1.571 4.662 -2.691 -3.757 6.156 0.646 7.177" Properties=species:S:1:pos:R:3 pbc="T T T"
Tb 8.048 -0.650 5.064
Tb 4.820 -2.578 -3.295
Tb 3.578 -3.979 -0.485
Tb 5.214 -2.218 6.018
Tb 3.494 -0.657 1.115
Tb 7.994 -1.775 1.765
Dy 5.174 -3.341 2.737
Dy 2.236 -2.059 3.908
Ga 7.901 -3.625 4.269
Ga 1.181 -2.740 1.030
Ga 5.320 -0.368 3.524
Ga 5.884 -1.899 -0.414
```

Here is a geometry-optimized Na2YBr structure from the Alexandria database. Energies are from PBE.

Results
**N(E_F)**: 1.37 states/eV/f.u.
**E_form (uncorrected)**: -0.22 eV/atom
**E above lowest polymorph**: 0 meV/atom
**Spin magnetization**: 0.00 μB per cell
**Space-group type**: I-42d (122)

Cell and atoms, written as extended XYZ:
```
8
Lattice="9.343 0.000 0.000 0.000 9.343 0.000 4.671 4.671 2.980" Properties=species:S:1:pos:R:3 pbc="T T T"
Y 0.000 0.000 0.000
Y 9.343 4.671 1.490
Na 6.495 2.336 0.745
Na 2.848 7.007 0.745
Na 7.007 7.519 2.235
Na 11.678 11.166 2.235
Br 4.671 4.671 0.000
Br 4.671 9.343 1.490
```

Here is a geometry-optimized Ca2TaPb structure from the Alexandria database. Energies are from PBE.

Results
**E**: -18.14 eV per cell
**N(E_F)**: 3.52 states/eV/f.u.
**Spin magnetization**: 0.59 μB per cell
**Space-group type**: Pm (6)

Cell and atoms, written as extended XYZ:
```
4
Lattice="5.354 0.000 0.000 0.000 3.191 -0.253 0.000 0.495 6.152" Properties=species:S:1:pos:R:3 pbc="T T T"
Pb 0.000 2.239 2.882
Ca 0.000 0.872 5.883
Ca 2.677 0.541 1.703
Ta 2.677 2.373 4.532
```

Here is a geometry-optimized Ba2ScSiSe structure from the Alexandria database. Energies are from PBE.

Results
**N(E_F)**: 4.05 states/eV/f.u.
**E_form (uncorrected)**: 0.04 eV/atom
**Spin magnetization**: 1.25 μB per cell
**Space-group type**: P4/mmm (123)

Cell and atoms, written as extended XYZ:
```
5
Lattice="6.383 0.000 0.000 0.000 4.823 0.000 0.000 0.000 6.383" Properties=species:S:1:pos:R:3 pbc="T T T"
Sc 0.000 0.000 0.000
Si 0.000 2.412 0.000
Ba 0.000 0.000 3.191
Ba 3.191 0.000 0.000
Se 3.191 2.412 3.191
```

Here is a geometry-optimized Tl2Cd2Ru structure from the Alexandria database. Energies are from PBE.

Results
**N(E_F)**: 4.32 states/eV/f.u.
**E above lowest polymorph**: 0 meV/atom
**Spin magnetization**: 2.56 μB per cell
**Space-group type**: P4/mbm (127)

Cell and atoms, written as extended XYZ:
```
10
Lattice="7.225 0.000 0.000 0.000 7.225 0.000 0.000 0.000 4.664" Properties=species:S:1:pos:R:3 pbc="T T T"
Ru 0.000 0.000 0.000
Ru 3.613 3.613 0.000
Tl 1.260 4.873 2.332
Tl 4.873 5.965 2.332
Tl 5.965 2.353 2.332
Tl 2.353 1.260 2.332
Cd 2.570 6.182 0.000
Cd 6.182 4.656 0.000
Cd 4.656 1.043 0.000
Cd 1.043 2.570 0.000
```

Here is a geometry-optimized Hf4GaS8 structure from the Alexandria database. Energies are from PBE.

Results
**N(E_F)**: 3.05 states/eV/f.u.
**E_form (uncorrected)**: -1.39 eV/atom
**E above lowest polymorph**: 47 meV/atom
**Spin magnetization**: 0.00 μB per cell
**Space-group type**: F-43m (216)

Cell and atoms, written as extended XYZ:
```
13
Lattice="-5.730 -4.452 -1.403 -0.088 -4.081 -6.162 0.830 -7.333 0.411" Properties=species:S:1:pos:R:3 pbc="T T T"
Hf -4.836 -8.187 -3.375
Hf -1.888 -7.992 -5.861
Hf -1.409 -9.691 -2.428
Hf -1.843 -5.861 -2.643
Ga -3.741 -11.899 -5.365
S -3.447 -4.205 -1.599
S -0.678 -4.022 -3.934
S -0.228 -5.618 -0.709
S -0.635 -2.020 -0.911
S -0.373 -7.703 -3.759
S -3.042 -7.879 -1.508
S -3.477 -6.340 -4.617
S -3.084 -9.809 -4.423
```

One value per record, in order, for theoretical density: 5.2, 8.2, 8.3, 2.7, 7.4, 3.6, 10.0, 6.0 g/cm³.